VASP calculation (GGA-PBE) on a geometry-optimized TiMn2Re structure.

## Properties
crystal system = tetragonal
ΔE_f = -0.182 eV per atom

a = 4.2006 Å, b = 4.2006 Å, c = 2.9388 Å
α = 90.00°, β = 90.00°, γ = 90.00°
Space group P4/mmm (No. 123)
Asymmetric unit:
Ti 0.0000 0.0000 0.0000 [1 per cell]
Mn 0.0000 0.5000 0.5000 [2 per cell]
Re 0.5000 0.5000 0.0000 [1 per cell]

=====

VASP calculation (GGA-PBE) on a geometry-optimized UNiP structure.

## Properties
crystal system = tetragonal
ΔE_f = -0.280 eV per atom

a = 3.5483 Å, b = 3.5483 Å, c = 8.0549 Å
α = 90.00°, β = 90.00°, γ = 90.00°
Space group I4mm (No. 107)
Asymmetric unit:
U 0.0000 0.0000 0.0000 [2 per cell]
Ni 0.0000 0.0000 0.3383 [2 per cell]
P 0.0000 0.0000 0.6578 [2 per cell]

=====

VASP calculation (GGA-PBE) on a geometry-optimized Si2Hg3 structure.

## Properties
excess energy over the best structure of this formula in the dataset = 0.4 kJ per mole of atoms
formation energy without anion corrections = 188 kJ/mol of formula units
crystal system = hexagonal

a = 5.0744 Å, b = 5.0744 Å, c = 5.3362 Å
α = 90.00°, β = 90.00°, γ = 120.00°
Space group P6/mmm (No. 191)
Asymmetric unit:
Si 0.3333 0.6667 0.0000 [2 per cell]
Hg 0.0000 0.0000 0.0000 [1 per cell]
Hg 0.3333 0.6667 0.5000 [2 per cell]

=====

VASP calculation (GGA-PBE) on a geometry-optimized Pa3Cu4HgO12 structure.

## Properties
formation energy without anion corrections = -3737 kJ/mol of formula units
crystal system = trigonal

a = 11.3038 Å, b = 11.3038 Å, c = 8.3605 Å
α = 90.00°, β = 90.00°, γ = 120.00°
Space group R32 (No. 155, hexagonal axes)
Asymmetric unit:
Pa 0.0000 0.5516 0.0000 [9 per cell]
Cu 0.0000 0.0000 0.5000 [3 per cell]
Cu 0.0000 0.4345 0.5000 [9 per cell]
Hg 0.0000 0.0000 0.0000 [3 per cell]
O 0.0000 0.6070 0.5000 [9 per cell]
O 0.0000 0.8354 0.5000 [9 per cell]
O 0.0433 0.1999 0.1909 [18 per cell]